AgBrO3, relaxed, DFT GGA-PBE; ΔE_f (raw) = 57.9 kJ per mole of atoms; calculated density = 6440 kg/m³
1.0
3.932 0.000 0.000
0.000 3.932 0.000
0.000 0.000 3.932
O Br Ag
3 1 1
Cartesian
0.000 1.966 0.000
0.000 0.000 1.966
1.966 0.000 0.000
0.000 0.000 0.000
1.966 1.966 1.966